# 1
Compound: CoPtC3
Source: Alexandria via LeMat-Bulk
Functional: PBE
Structure: relaxed

Unit cell a=3.7325 b=3.7325 c=3.7325 alpha=90.00 beta=90.00 gamma=90.00
Closest atoms and distances in Å follow each position.
Element x y z (fractional)
Co (0.0000, 0.0000, 0.0000)  6 C 1.87
Pt (0.5000, 0.5000, 0.5000)  12 C 2.64
C (0.0000, 0.0000, 0.5000)  2 Co 1.87
C (0.0000, 0.5000, 0.0000)  2 Co 1.87
C (0.5000, 0.0000, 0.0000)  2 Co 1.87

Properties
* density: 9.3 Mg/m³
* density of states at the Fermi level: 0.69 states/eV per atom
* energy above the lowest structure with this stoichiometry: 0.000 eV per atom
* final energy: -30.3 eV/cell
* space group: Pm-3m, No. 221
* calculated formation energy: 2.11 eV per atom

# 2
Compound: CoPtC3
Source: Alexandria via LeMat-Bulk
Functional: PBE
Structure: relaxed

Unit cell a=3.9637 b=3.9637 c=3.9637 alpha=90.00 beta=90.00 gamma=90.00
Closest atoms and distances in Å follow each position.
Element x y z (fractional)
Co (0.0000, 0.0000, 0.0000)  12 C 2.80
Pt (0.5000, 0.5000, 0.5000)  6 C 1.98
C (0.0000, 0.5000, 0.5000)  2 Pt 1.98
C (0.5000, 0.0000, 0.5000)  2 Pt 1.98
C (0.5000, 0.5000, 0.0000)  2 Pt 1.98

Properties
* density: 7.7 Mg/m³
* density of states at the Fermi level: 0.81 states/eV per atom
* energy above the lowest structure with this stoichiometry: 0.647 eV per atom
* final energy: -27.0 eV/cell
* space group: Pm-3m, No. 221
* calculated formation energy: 2.76 eV per atom

# 3
Compound: CoPtC2
Source: Alexandria via LeMat-Bulk
Functional: PBE
Structure: relaxed

Unit cell a=4.5152 b=4.5152 c=8.9413 alpha=90.00 beta=90.00 gamma=90.00
Closest atoms and distances in Å follow each position.
Element x y z (fractional)
Co (0.0000, 0.0000, 0.0000)  4 C 1.87
Co (0.0000, 0.5000, 0.2500)  4 C 1.87
Co (0.5000, 0.0000, 0.7500)  4 C 1.87
Co (0.5000, 0.5000, 0.5000)  4 C 1.87
Pt (0.0000, 0.0000, 0.5000)  4 C 2.04
Pt (0.0000, 0.5000, 0.7500)  4 C 2.04
Pt (0.5000, 0.0000, 0.2500)  4 C 2.04
Pt (0.5000, 0.5000, 0.0000)  4 C 2.04
C (0.2174, 0.2500, 0.1250)  2 Co 1.87, 2 Pt 2.04
C (0.2500, 0.7174, 0.3750)  2 Co 1.87, 2 Pt 2.04
C (0.2500, 0.7826, 0.8750)  2 Co 1.87, 2 Pt 2.04
C (0.2826, 0.2500, 0.6250)  2 Co 1.87, 2 Pt 2.04
C (0.7174, 0.7500, 0.6250)  2 Co 1.87, 2 Pt 2.04
C (0.7500, 0.2174, 0.8750)  2 Co 1.87, 2 Pt 2.04
C (0.7500, 0.2826, 0.3750)  2 Co 1.87, 2 Pt 2.04
C (0.7826, 0.7500, 0.1250)  2 Co 1.87, 2 Pt 2.04

Properties
* density: 10.1 Mg/m³
* density of states at the Fermi level: 0.48 states/eV per atom
* energy above the lowest structure with this stoichiometry: 0.000 eV per atom
* final energy: -114.4 eV/cell
* space group: I-42d, No. 122
* calculated formation energy: 0.75 eV per atom